[1]
Here is crystalline P2AuSN at its relaxed geometry from Alexandria. Energies are from PBE.

Electronic total energy   -3.023 eV per atom
Uncorrected formation energy   2.287 eV/atom
DOS(E_F)   7.1 states/eV/f.u.

a = 4.7898 Å, b = 4.7898 Å, c = 4.8598 Å
α = 90.00°, β = 90.00°, γ = 90.00°
With the nearest neighbours (Å) after each atom.
Positions (direct):
P (0.0000, 0.5000, 0.0000)  2 Au 2.39
P (0.5000, 0.0000, 0.0000)  2 Au 2.39
Au (0.0000, 0.0000, 0.0000)  4 P 2.39, 2 S 2.43
S (0.0000, 0.0000, 0.5000)  2 Au 2.43
N (0.5000, 0.5000, 0.5000)  4 S 3.39, 8 P 3.41


[2]
Here is crystalline BaCd2CuAg at its relaxed geometry from Alexandria. Energies are from PBE.

Electronic total energy   -2.216 eV per atom
Energy of formation from the pure elements   -0.076 eV/atom
DOS(E_F)   3.7 states/eV/f.u.

a = 5.1060 Å, b = 5.1060 Å, c = 5.2227 Å
α = 90.00°, β = 90.00°, γ = 90.00°
With the nearest neighbours (Å) after each atom.
Positions (direct):
Ba (0.0000, 0.0000, 0.0000)  4 Ag 3.61, 8 Cd 3.65
Cd (0.0000, 0.5000, 0.5000)  2 Cu 2.55
Cd (0.5000, 0.0000, 0.5000)  2 Cu 2.55
Cu (0.5000, 0.5000, 0.5000)  4 Cd 2.55, 2 Ag 2.61
Ag (0.5000, 0.5000, 0.0000)  2 Cu 2.61